1.
## Dy5PaZn4 (PBE)

Data for a geometry-optimized Dy5PaZn4 structure.

Lattice parameters (Å, degrees): 3.527 3.527 19.040 90.00 90.00 90.00
Sites, in units of the cell vectors:
Dy  0.000  0.000  0.000
Dy  0.000  0.000  0.187
Dy  0.000  0.000  0.380
Dy  0.000  0.000  0.620
Dy  0.000  0.000  0.813
Pa  0.500  0.500  0.500
Zn  0.500  0.500  0.093
Zn  0.500  0.500  0.284
Zn  0.500  0.500  0.716
Zn  0.500  0.500  0.907

Calculated values
* raw total energy: -3.979 eV/atom
* DOS at the Fermi energy: 13.1 states/eV/cell
* symmetry: No. 123

2.
## CrIrBr2 (PBE)

Data for a geometry-optimized CrIrBr2 structure.

Lattice parameters (Å, degrees): 9.032 9.032 9.032 22.56 22.56 22.56
Sites, in units of the cell vectors:
Cr  0.000  0.000  0.000
Ir  0.712  0.712  0.712
Br  0.267  0.267  0.267
Br  0.450  0.450  0.450

Calculated values
* DOS at the Fermi energy: 2.9 states/eV/cell
* symmetry: No. 160
* formation energy without anion corrections: 0.03 eV/atom
* excess energy over the best structure of this formula in the dataset: 5 kJ/mol of formula units

3.
## TbTm2Cd (PBE)

Data for a geometry-optimized TbTm2Cd structure.

Lattice parameters (Å, degrees): 4.813 4.813 4.805 90.00 90.00 90.00
Sites, in units of the cell vectors:
Tb  0.000  0.000  0.000
Tm  0.000  0.500  0.500
Tm  0.500  0.000  0.500
Cd  0.500  0.500  0.000

Calculated values
* DOS at the Fermi energy: 5.4 states/eV/cell
* symmetry: No. 123
* excess energy over the best structure of this formula in the dataset: 24 kJ/mol of formula units

4.
## LiRe3W (PBE)

Data for a geometry-optimized LiRe3W structure.

Lattice parameters (Å, degrees): 4.142 4.142 4.142 90.00 90.00 90.00
Sites, in units of the cell vectors:
Li  0.000  0.000  0.000
Re  0.000  0.000  0.500
Re  0.000  0.500  0.000
Re  0.500  0.000  0.000
W  0.500  0.500  0.500

Calculated values
* DOS at the Fermi energy: 5.3 states/eV/cell
* symmetry: No. 221
* excess energy over the best structure of this formula in the dataset: 0 kJ/mol of formula units

5.
## NaLi17Mg (PBE)

Data for a geometry-optimized NaLi17Mg structure.

Lattice parameters (Å, degrees): 7.560 7.560 7.560 76.36 76.36 76.36
Sites, in units of the cell vectors:
Na  0.000  0.000  0.000
Li  0.058  0.058  0.410
Li  0.058  0.410  0.058
Li  0.109  0.706  0.706
Li  0.343  0.343  0.728
Li  0.343  0.728  0.343
Li  0.354  0.651  0.979
Li  0.354  0.979  0.651
Li  0.410  0.058  0.058
Li  0.576  0.576  0.576
Li  0.651  0.354  0.979
Li  0.651  0.979  0.354
Li  0.706  0.109  0.706
Li  0.706  0.706  0.109
Li  0.728  0.343  0.343
Li  0.737  0.737  0.737
Li  0.979  0.354  0.651
Li  0.979  0.651  0.354
Mg  0.333  0.333  0.333

Calculated values
* raw total energy: -1.832 eV/atom
* DOS at the Fermi energy: 8.0 states/eV/cell
* symmetry: No. 160

6.
## HoIBr2 (PBE)

Data for a geometry-optimized HoIBr2 structure.

Lattice parameters (Å, degrees): 7.436 7.436 7.436 150.26 70.83 117.39
Sites, in units of the cell vectors:
Ho  0.000  0.000  0.000
I  0.695  0.195  0.500
Br  0.282  0.632  0.650
Br  0.982  0.632  0.350

Calculated values
* DOS at the Fermi energy: 0.0 states/eV/cell
* symmetry: No. 44
* formation energy without anion corrections: -1.66 eV/atom
* excess energy over the best structure of this formula in the dataset: 8 kJ/mol of formula units

7.
## Sc2TaInF (PBE)

Data for a geometry-optimized Sc2TaInF structure.

Lattice parameters (Å, degrees): 4.311 4.311 5.012 90.00 90.00 90.00
Sites, in units of the cell vectors:
Sc  0.000  0.500  0.000
Sc  0.500  0.000  0.000
Ta  0.000  0.000  0.500
In  0.500  0.500  0.500
F  0.500  0.500  0.000

Calculated values
* DOS at the Fermi energy: 6.3 states/eV/cell
* symmetry: No. 123
* formation energy without anion corrections: -0.70 eV/atom

8.
## NaPmSi2 (PBE)

Data for a geometry-optimized NaPmSi2 structure.

Lattice parameters (Å, degrees): 4.433 4.433 4.296 90.00 90.00 90.00
Sites, in units of the cell vectors:
Na  0.000  0.000  0.000
Pm  0.500  0.500  0.000
Si  0.000  0.500  0.500
Si  0.500  0.000  0.500

Calculated values
* DOS at the Fermi energy: 1.3 states/eV/cell
* symmetry: No. 123
* formation energy without anion corrections: -0.16 eV/atom